Record 1
A relaxed Th4Bi2AsP crystal. Source: Alexandria, functional PBE.

a = 7.5339 Å, b = 4.3332 Å, c = 7.7668 Å
α = 90.00°, β = 108.77°, γ = 90.00°
Space group P2/m (No. 10)
Asymmetric unit:
Th (0.2299, 0.0000, 0.2097) [2 per cell]
Th (0.2549, 0.5000, 0.7870) [2 per cell]
Bi (0.0000, 0.0000, 0.5000) [1 per cell]
Bi (0.5000, 0.5000, 0.5000) [1 per cell]
As (0.5000, 0.0000, 0.0000) [1 per cell]
P (0.0000, 0.5000, 0.0000) [1 per cell]

Results
The value obtained for the total DFT energy (no corrections) is -6.977 eV/atom. The formation energy from the elements comes out at -1.04 eV/atom. Its volume is 30.0 Å³ per atom. For the density of states at the Fermi level, the calculation gives 0.433 states/eV per atom.

***

Record 2
A relaxed Th6BiAs2P3 crystal. Source: Alexandria, functional PBE.

a = 18.5950 Å, b = 4.2254 Å, c = 8.5784 Å
α = 90.00°, β = 104.00°, γ = 90.00°
Space group C2/m (No. 12)
Asymmetric unit:
Th (0.0023, 0.0000, 0.2233) [4 per cell]
Th (0.1638, 0.5000, 0.0899) [4 per cell]
Th (0.1764, 0.5000, 0.5776) [4 per cell]
Bi (0.0000, 0.5000, 0.5000) [2 per cell]
As (0.1675, 0.0000, 0.8327) [4 per cell]
P (0.0000, 0.5000, 0.0000) [2 per cell]
P (0.1639, 0.0000, 0.3301) [4 per cell]

Results
The value obtained for the total DFT energy (no corrections) is -7.479 eV/atom. The formation energy from the elements comes out at -1.32 eV/atom. Its volume is 27.2 Å³ per atom. For the density of states at the Fermi level, the calculation gives 0.479 states/eV per atom.

***

Record 3
A relaxed Th6Bi3AsP2 crystal. Source: Alexandria, functional PBE.

a = 19.2950 Å, b = 4.3256 Å, c = 8.8894 Å
α = 90.00°, β = 105.45°, γ = 90.00°
Space group C2/m (No. 12)
Asymmetric unit:
Th (0.0117, 0.0000, 0.2349) [4 per cell]
Th (0.1612, 0.5000, 0.1104) [4 per cell]
Th (0.1764, 0.5000, 0.5591) [4 per cell]
Bi (0.0000, 0.5000, 0.5000) [2 per cell]
Bi (0.1645, 0.0000, 0.8321) [4 per cell]
As (0.0000, 0.5000, 0.0000) [2 per cell]
P (0.1677, 0.0000, 0.3340) [4 per cell]

Results
The value obtained for the total DFT energy (no corrections) is -7.025 eV/atom. The formation energy from the elements comes out at -1.06 eV/atom. Its volume is 29.8 Å³ per atom. For the density of states at the Fermi level, the calculation gives 0.356 states/eV per atom.

***

Record 4
A relaxed Th4BiAs2P crystal. Source: Alexandria, functional PBE.

a = 7.4573 Å, b = 4.2884 Å, c = 7.5333 Å
α = 90.00°, β = 109.18°, γ = 90.00°
Space group P2/m (No. 10)
Asymmetric unit:
Th (0.2344, 0.0000, 0.2230) [2 per cell]
Th (0.2500, 0.5000, 0.7700) [2 per cell]
Bi (0.5000, 0.5000, 0.5000) [1 per cell]
As (0.0000, 0.0000, 0.5000) [1 per cell]
As (0.0000, 0.5000, 0.0000) [1 per cell]
P (0.5000, 0.0000, 0.0000) [1 per cell]

Results
The value obtained for the total DFT energy (no corrections) is -7.214 eV/atom. The formation energy from the elements comes out at -1.18 eV/atom. Its volume is 28.4 Å³ per atom. For the density of states at the Fermi level, the calculation gives 0.490 states/eV per atom.

***

Record 5
A relaxed Tm4Bi2AsP crystal. Source: Alexandria, functional PBE.

a = 7.2259 Å, b = 4.1617 Å, c = 7.4224 Å
α = 90.00°, β = 108.84°, γ = 90.00°
Space group P2/m (No. 10)
Asymmetric unit:
Tm (0.2356, 0.0000, 0.2194) [2 per cell]
Tm (0.2554, 0.5000, 0.7782) [2 per cell]
Bi (0.0000, 0.0000, 0.5000) [1 per cell]
Bi (0.5000, 0.5000, 0.5000) [1 per cell]
As (0.5000, 0.0000, 0.0000) [1 per cell]
P (0.0000, 0.5000, 0.0000) [1 per cell]

Results
The value obtained for the total DFT energy (no corrections) is -5.593 eV/atom. The formation energy from the elements comes out at -1.13 eV/atom. Its volume is 26.4 Å³ per atom. For the density of states at the Fermi level, the calculation gives 0.211 states/eV per atom.

***

Record 6
A relaxed Y6BiAs3P2 crystal. Source: Alexandria, functional PBE.

a = 18.0573 Å, b = 4.1328 Å, c = 8.3360 Å
α = 90.00°, β = 102.97°, γ = 90.00°
Space group C2/m (No. 12)
Asymmetric unit:
Y (0.0040, 0.0000, 0.2693) [4 per cell]
Y (0.1698, 0.5000, 0.5799) [4 per cell]
Y (0.1747, 0.5000, 0.0947) [4 per cell]
Bi (0.0000, 0.5000, 0.0000) [2 per cell]
As (0.0000, 0.5000, 0.5000) [2 per cell]
As (0.1640, 0.0000, 0.8317) [4 per cell]
P (0.1683, 0.0000, 0.3364) [4 per cell]

Results
The value obtained for the total DFT energy (no corrections) is -7.051 eV/atom. The formation energy from the elements comes out at -1.43 eV/atom. Its volume is 25.3 Å³ per atom. For the density of states at the Fermi level, the calculation gives 0.145 states/eV per atom.